(1)
VASP calculation (PBE) on a geometry-optimized PmErSi2Pt2 structure.

Properties
DOS(E_F)   4.57 states/eV/f.u.
VASP energy   -6.514 eV/atom
Formation energy from raw total energies   -1.14 eV/atom

Geometry as POSCAR:
```
PmErSi2Pt2
1.0
4.162 0.000 0.000
-2.081 3.604 0.000
0.000 0.000 8.179
Pm Er Si Pt
1 1 2 2
Direct
0.000 0.000 0.000
0.000 0.000 0.500
0.333 0.667 0.744
0.667 0.333 0.256
0.333 0.667 0.263
0.667 0.333 0.737
```

(2)
VASP calculation (PBE) on a geometry-optimized Ba2Sr3Mg3 structure.

Properties
DOS(E_F)   8.88 states/eV/f.u.
VASP energy   -1.704 eV/atom
Formation energy   0.0 eV/f.u.

Geometry as POSCAR:
```
Ba2Sr3Mg3
1.0
4.383 0.000 0.000
0.000 6.166 0.000
0.000 0.000 25.188
Ba Sr Mg
4 6 6
Direct
0.000 0.000 0.229
0.000 0.000 0.771
0.500 0.500 0.271
0.500 0.500 0.729
0.000 0.000 0.000
0.000 0.500 0.115
0.000 0.500 0.885
0.500 0.000 0.385
0.500 0.000 0.615
0.500 0.500 0.500
0.000 0.000 0.500
0.000 0.500 0.386
0.000 0.500 0.614
0.500 0.000 0.114
0.500 0.000 0.886
0.500 0.500 0.000
```

(3)
VASP calculation (PBE) on a geometry-optimized Sr2PaNi3H12 structure.

Properties
DOS(E_F)   7.92 states/eV/f.u.
VASP energy   -4.175 eV/atom

Geometry as POSCAR:
```
Sr2PaNi3H12
1.0
3.267 1.886 4.799
-3.267 1.886 4.799
0.000 -3.772 4.799
Sr Pa Ni H
2 1 3 12
Direct
0.114 0.114 0.114
0.886 0.886 0.886
0.500 0.500 0.500
0.000 0.500 0.500
0.500 0.000 0.500
0.500 0.500 0.000
0.082 0.628 0.628
0.240 0.240 0.598
0.240 0.598 0.240
0.372 0.372 0.918
0.372 0.918 0.372
0.402 0.760 0.760
0.598 0.240 0.240
0.628 0.082 0.628
0.628 0.628 0.082
0.760 0.402 0.760
0.760 0.760 0.402
0.918 0.372 0.372
```

(4)
VASP calculation (PBE) on a geometry-optimized ZnIrAu2 structure.

Properties
DOS(E_F)   2.37 states/eV/f.u.
VASP energy   -4.136 eV/atom
Formation energy   0.1 eV/f.u.

Geometry as POSCAR:
```
ZnIrAu2
1.0
2.892 0.000 0.000
0.000 2.892 0.000
0.000 0.000 7.716
Zn Ir Au
1 1 2
Direct
0.000 0.000 0.000
0.500 0.500 0.787
0.000 0.000 0.527
0.500 0.500 0.246
```

(5)
VASP calculation (PBE) on a geometry-optimized Ac2LaYTe6 structure.

Properties
DOS(E_F)   0.00 states/eV/f.u.
VASP energy   -5.332 eV/atom
Formation energy from raw total energies   -1.49 eV/atom

Geometry as POSCAR:
```
Ac2LaYTe6
1.0
4.099 2.367 7.180
-4.099 2.367 7.180
0.000 -4.733 7.180
Ac La Y Te
2 1 1 6
Direct
0.000 0.000 0.000
0.498 0.498 0.498
0.201 0.201 0.201
0.699 0.699 0.699
0.069 0.428 0.818
0.325 0.913 0.584
0.428 0.818 0.069
0.584 0.325 0.913
0.818 0.069 0.428
0.913 0.584 0.325
```

(6)
VASP calculation (PBE) on a geometry-optimized PbCl2O structure.

Properties
DOS(E_F)   0.75 states/eV/f.u.
VASP energy   -2.656 eV/atom
Formation energy from raw total energies   0.43 eV/atom
ΔE to the lowest computed polymorph   554.9 meV/atom

Geometry as POSCAR:
```
PbCl2O
1.0
3.629 0.000 0.000
-1.815 3.143 0.000
0.000 0.000 25.600
Pb Cl O
3 6 3
Direct
0.000 0.000 0.000
0.333 0.667 0.667
0.667 0.333 0.333
0.000 0.000 0.107
0.000 0.000 0.893
0.333 0.667 0.560
0.333 0.667 0.774
0.667 0.333 0.226
0.667 0.333 0.440
0.000 0.000 0.500
0.333 0.667 0.167
0.667 0.333 0.833
```

(7)
VASP calculation (PBE) on a geometry-optimized PaCuPdO6 structure.

Properties
DOS(E_F)   4.81 states/eV/f.u.
VASP energy   -6.901 eV/atom
Formation energy from raw total energies   -1.51 eV/atom

Geometry as POSCAR:
```
PaCuPdO6
1.0
4.832 0.000 0.000
0.000 4.832 0.000
0.000 0.000 9.537
Pa Cu Pd O
2 2 2 12
Direct
0.000 0.000 0.000
0.500 0.500 0.500
0.000 0.000 0.669
0.500 0.500 0.169
0.000 0.000 0.331
0.500 0.500 0.831
0.180 0.180 0.502
0.200 0.200 0.173
0.202 0.202 0.828
0.298 0.702 0.328
0.300 0.700 0.673
0.320 0.680 0.002
0.680 0.320 0.002
0.700 0.300 0.673
0.702 0.298 0.328
0.798 0.798 0.828
0.800 0.800 0.173
0.820 0.820 0.502
```

(8)
VASP calculation (PBE) on a geometry-optimized BaCrW2 structure.

Properties
DOS(E_F)   4.21 states/eV/f.u.
VASP energy   -7.681 eV/atom
ΔE to the lowest computed polymorph   823.4 meV/atom
Formation energy   6.7 eV/f.u.

Geometry as POSCAR:
```
BaCrW2
1.0
6.639 0.000 0.000
0.000 6.639 0.000
0.000 0.000 6.639
Ba Cr W
4 4 8
Direct
0.000 0.000 0.000
0.000 0.500 0.500
0.500 0.000 0.500
0.500 0.500 0.000
0.000 0.000 0.500
0.000 0.500 0.000
0.500 0.000 0.000
0.500 0.500 0.500
0.250 0.250 0.250
0.250 0.250 0.750
0.250 0.750 0.250
0.250 0.750 0.750
0.750 0.250 0.250
0.750 0.250 0.750
0.750 0.750 0.250
0.750 0.750 0.750
```

(9)
VASP calculation (PBE) on a geometry-optimized ZnC4 structure.

Properties
DOS(E_F)   0.92 states/eV/f.u.
VASP energy   -5.566 eV/atom
ΔE to the lowest computed polymorph   692.0 meV/atom
Formation energy   10.3 eV/f.u.

Geometry as POSCAR:
```
ZnC4
1.0
2.941 0.000 0.000
0.000 2.941 0.000
0.000 0.000 13.736
Zn C
2 8
Direct
0.000 0.000 0.000
0.500 0.500 0.500
0.000 0.000 0.297
0.000 0.000 0.703
0.000 0.500 0.250
0.000 0.500 0.750
0.500 0.000 0.250
0.500 0.000 0.750
0.500 0.500 0.203
0.500 0.500 0.797
```

(10)
VASP calculation (PBE) on a geometry-optimized KCdAs2 structure.

Properties
DOS(E_F)   1.04 states/eV/f.u.
VASP energy   -2.902 eV/atom
Formation energy   -0.3 eV/f.u.

Geometry as POSCAR:
```
KCdAs2
1.0
5.208 0.000 0.000
0.000 5.208 0.000
0.000 0.000 18.269
K Cd As
4 4 8
Direct
0.000 0.000 0.000
0.000 0.500 0.250
0.500 0.000 0.750
0.500 0.500 0.500
0.000 0.000 0.500
0.000 0.500 0.750
0.500 0.000 0.250
0.500 0.500 0.000
0.113 0.250 0.625
0.250 0.613 0.875
0.250 0.887 0.375
0.387 0.250 0.125
0.613 0.750 0.125
0.750 0.113 0.375
0.750 0.387 0.875
0.887 0.750 0.625
```

(11)
VASP calculation (PBE) on a geometry-optimized ZrCu2Pb2 structure.

Properties
DOS(E_F)   1.81 states/eV/f.u.
VASP energy   -4.723 eV/atom
ΔE to the lowest computed polymorph   0.0 meV/atom
Formation energy   0.5 eV/f.u.

Geometry as POSCAR:
```
ZrCu2Pb2
1.0
7.610 0.000 0.000
0.000 7.610 0.000
0.000 0.000 3.494
Zr Cu Pb
2 4 4
Direct
0.000 0.000 0.000
0.500 0.500 0.000
0.116 0.384 0.000
0.384 0.884 0.000
0.616 0.116 0.000
0.884 0.616 0.000
0.182 0.682 0.500
0.318 0.182 0.500
0.682 0.818 0.500
0.818 0.318 0.500
```

(12)
VASP calculation (PBE) on a geometry-optimized TiNb2Sn structure.

Properties
DOS(E_F)   5.14 states/eV/f.u.
VASP energy   -7.544 eV/atom
Formation energy   1.9 eV/f.u.

Geometry as POSCAR:
```
TiNb2Sn
1.0
7.512 0.000 0.000
0.000 7.512 0.000
0.000 0.000 5.678
Ti Nb Sn
4 8 4
Direct
0.000 0.000 0.000
0.000 0.500 0.250
0.500 0.000 0.750
0.500 0.500 0.500
0.240 0.250 0.125
0.250 0.740 0.375
0.250 0.760 0.875
0.260 0.250 0.625
0.740 0.750 0.625
0.750 0.240 0.875
0.750 0.260 0.375
0.760 0.750 0.125
0.000 0.000 0.500
0.000 0.500 0.750
0.500 0.000 0.250
0.500 0.500 0.000
```

Q: VASP energy of number 1 (PmErSi2Pt2)?
A: -6.514 eV/atom

Q: The highest DOS(E_F) belongs to which entry?
A: Ba2Sr3Mg3

Q: What is the formula in the first record?
A: PmErSi2Pt2